# SrDyFe2O5 PBE+U optimized geometry
data_SrDyFe2O5
_chemical_formula_sum 'Sr1 Dy1 Fe2 O5'
_symmetry_space_group_name_H-M 'P 1'
_symmetry_Int_Tables_number 1
_symmetry_space_group_name_Hall 'P 1'
_cell_length_a 3.9364
_cell_length_b 3.9364
_cell_length_c 7.5122
_cell_angle_alpha 90.00
_cell_angle_beta 90.00
_cell_angle_gamma 90.00
loop_
_atom_site_label
_atom_site_type_symbol
_atom_site_fract_x
_atom_site_fract_y
_atom_site_fract_z
_atom_site_occupancy
Sr1 Sr 0.0000 0.0000 0.0000 1
Dy1 Dy 0.0000 0.0000 0.5000 1
Fe1 Fe 0.5000 0.5000 0.2676 1
Fe2 Fe 0.5000 0.5000 0.7324 1
O1 O 0.0000 0.5000 0.3111 1
O2 O 0.0000 0.5000 0.6889 1
O3 O 0.5000 0.0000 0.3111 1
O4 O 0.5000 0.0000 0.6889 1
O5 O 0.5000 0.5000 0.0000 1
# space-group type	P4/mmm (123)
# energy	-7.00	eV/atom